[1]
Density functional theory data (GGA-PBE) for crystalline ScPa2Nb at its relaxed geometry.

a b c (Å): 3.4054 3.4054 8.2177
angles (deg): 90.00 90.00 90.00
Space group P4/mmm (No. 123)
Symmetry-distinct sites (fractional):
1 Sc 0.0000 0.0000 0.0000 (multiplicity 1)
2 Pa 0.5000 0.5000 0.2753 (multiplicity 2)
3 Nb 0.0000 0.0000 0.5000 (multiplicity 1)

Calculated values
The formation energy is 0.991 eV per formula unit.


[2]
Density functional theory data (GGA-PBE) for crystalline CuSiHg2 at its relaxed geometry.

a b c (Å): 3.0079 4.6673 5.7837
angles (deg): 90.00 100.60 90.00
Space group P2/m (No. 10)
Symmetry-distinct sites (fractional):
1 Cu 0.0000 0.0000 0.0000 (multiplicity 1)
2 Si 0.0000 0.0000 0.5000 (multiplicity 1)
3 Hg 0.1093 0.5000 0.7637 (multiplicity 2)

Calculated values
Its formation energy (no corrections) is 0.43 eV/atom.


| no. | calculated density (g/cm³) | Fermi-level density of states (states/eV/f.u.) | E_tot (eV for the cell shown) |
| --- | --- | --- | --- |
| 1 | 10.45 | 7.6 | -34.40 |
| 2 | 10.25 | 1.2 | -8.39 |